1.
An optimized crystal structure of ScNO2F, computed with PBE.

a = 3.7055 Å, b = 3.7055 Å, c = 3.4918 Å
α = 90.00°, β = 90.00°, γ = 90.00°
Last column: nearest neighbours and their distance in Å.
Fractional positions:
Sc (0.0000, 0.0000, 0.0000)  8 O 2.55, 4 F 2.62
N (0.5000, 0.5000, 0.5000)  2 F 1.75, 4 O 1.85
O (0.0000, 0.5000, 0.5000)  2 N 1.85
O (0.5000, 0.0000, 0.5000)  2 N 1.85
F (0.5000, 0.5000, 0.0000)  2 N 1.75

Output
Electronic total energy = -5.77 eV per atom
Spin magnetization = 0.00 μB per cell
Formation energy from raw total energies = -481 meV/atom
N(E_F) = 1.7 states/eV per cell

2.
An optimized crystal structure of Sm6HgP2Se3, computed with PBE.

a = 9.3636 Å, b = 9.3636 Å, c = 8.4992 Å
α = 102.91°, β = 102.91°, γ = 25.54°
Last column: nearest neighbours and their distance in Å.
Fractional positions:
Sm (0.0058, 0.0058, 0.2642)  1 P 2.89, 3 Se 2.90-3.05, 2 Hg 3.04
Sm (0.3284, 0.3284, 0.4273)  3 P 2.85-2.87, 3 Se 3.05
Sm (0.3291, 0.3291, 0.8983)  2 P 2.88, 3 Se 2.91-3.07, 1 Hg 3.04
Sm (0.6709, 0.6709, 0.1017)  2 P 2.88, 3 Se 2.91-3.07, 1 Hg 3.04
Sm (0.6716, 0.6716, 0.5727)  3 P 2.85-2.87, 3 Se 3.05
Sm (0.9942, 0.9942, 0.7358)  1 P 2.89, 3 Se 2.90-3.05, 2 Hg 3.04
Hg (0.5000, 0.5000, 0.0000)  6 Sm 3.04
P (0.1681, 0.1681, 0.3363)  6 Sm 2.85-2.89
P (0.8319, 0.8319, 0.6637)  6 Sm 2.85-2.89
Se (0.1657, 0.1657, 0.8325)  6 Sm 2.91-3.07
Se (0.5000, 0.5000, 0.5000)  6 Sm 2.90-3.05
Se (0.8343, 0.8343, 0.1675)  6 Sm 2.91-3.07

Output
Electronic total energy = -5.69 eV per atom
Spin magnetization = 0.00 μB per cell
Formation energy from raw total energies = -1534 meV/atom
N(E_F) = 5.7 states/eV per cell

3.
An optimized crystal structure of LiTiH6O2F6, computed with PBE.

a = 5.6372 Å, b = 5.6372 Å, c = 6.0064 Å
α = 90.00°, β = 90.00°, γ = 120.00°
Last column: nearest neighbours and their distance in Å.
Fractional positions:
Li (0.0000, 0.0000, 0.0000)  3 F 1.86, 1 O 2.06
Ti (0.3333, 0.6667, 0.6812)  6 F 1.96-2.06
H (0.0106, 0.1818, 0.4051)  1 O 1.06
H (0.1712, 0.9894, 0.4051)  1 O 1.06
H (0.5008, 0.1512, 0.9590)  1 O 1.03
H (0.6505, 0.4992, 0.9590)  1 O 1.03
H (0.8182, 0.8288, 0.4051)  1 O 1.06
H (0.8488, 0.3495, 0.9590)  1 O 1.03
O (0.0000, 0.0000, 0.3436)  3 H 1.06
O (0.6667, 0.3333, 0.0083)  3 H 1.03
F (0.0305, 0.4202, 0.4872)  1 H 1.38
F (0.1064, 0.3528, 0.9015)  1 H 1.48
F (0.2464, 0.8936, 0.9015)  1 H 1.48
F (0.3897, 0.9695, 0.4872)  1 H 1.38
F (0.5798, 0.6103, 0.4872)  1 H 1.38
F (0.6472, 0.7536, 0.9015)  1 H 1.48

Output
Electronic total energy = -5.16 eV per atom
Spin magnetization = 1.00 μB per cell
N(E_F) = 8.4 states/eV per cell